(1)
DFT (GGA-PBE) results for a geometry-optimized CaAl4Ag8 structure.

Structure (extended XYZ):
```
13
Lattice="-4.687 4.687 2.692 4.687 -4.687 2.692 4.687 4.687 -2.692" Properties=species:S:1:pos:R:3 pbc="T T T"
Ca 0.000 0.000 0.000
Al 2.343 2.343 -1.346
Al 2.343 -2.343 1.346
Al -2.343 2.343 1.346
Al 2.343 2.343 1.346
Ag 3.220 0.000 0.000
Ag 6.154 0.000 0.000
Ag 4.687 2.639 0.000
Ag 0.000 3.220 0.000
Ag 2.639 4.687 0.000
Ag 2.048 0.000 2.692
Ag 0.000 6.154 0.000
Ag 0.000 2.048 2.692
```

SG: I4/mmm, No. 139
total magnetization: 0.00 μB per atom
energy relative to the elements: -0.1804 eV/atom

(2)
DFT (GGA-PBE) results for a geometry-optimized Ta3MnTc2 structure.

Structure (extended XYZ):
```
6
Lattice="3.153 0.000 0.000 0.000 3.153 0.000 0.000 0.000 9.432" Properties=species:S:1:pos:R:3 pbc="T T T"
Ta 0.000 0.000 0.000
Ta 0.000 0.000 3.200
Ta 0.000 0.000 6.232
Mn 1.576 1.576 4.716
Tc 1.576 1.576 1.603
Tc 1.576 1.576 7.829
```

SG: P4/mmm, No. 123
total magnetization: 0.00 μB per atom
energy relative to the elements: -0.3966 eV/atom

(3)
DFT (GGA-PBE) results for a geometry-optimized HgMoBr structure.

Structure (extended XYZ):
```
3
Lattice="0.000 2.885 7.696 1.564 0.000 7.696 1.564 2.885 0.000" Properties=species:S:1:pos:R:3 pbc="T T T"
Hg 0.000 0.000 0.000
Mo 1.564 2.885 5.319
Br 1.564 2.885 11.023
```

SG: Fmm2, No. 42
total magnetization: 0.33 μB per atom
E_form (uncorrected): 536 meV per atom
excess energy over the best structure of this formula in the dataset: 57 kJ/mol of formula units

(4)
DFT (GGA-PBE) results for a geometry-optimized MnCdSb2I structure.

Structure (extended XYZ):
```
5
Lattice="4.876 0.000 0.000 0.000 4.876 0.000 0.000 0.000 5.909" Properties=species:S:1:pos:R:3 pbc="T T T"
Mn 0.000 0.000 0.000
Cd 2.438 2.438 2.955
Sb 0.000 2.438 0.000
Sb 2.438 0.000 0.000
I 0.000 0.000 2.955
```

SG: P4/mmm, No. 123
total magnetization: 0.00 μB per atom
E_form (uncorrected): 387 meV per atom
excess energy over the best structure of this formula in the dataset: 0 kJ/mol of formula units

(5)
DFT (GGA-PBE) results for a geometry-optimized InAs2I structure.

Structure (extended XYZ):
```
4
Lattice="0.000 3.654 3.654 3.654 0.000 3.654 3.654 3.654 0.000" Properties=species:S:1:pos:R:3 pbc="T T T"
In 0.000 0.000 0.000
As 1.827 1.827 1.827
As 5.480 5.480 5.480
I 3.654 3.654 3.654
```

SG: Fm-3m, No. 225
total magnetization: 0.00 μB per atom
E_form (uncorrected): 518 meV per atom
excess energy over the best structure of this formula in the dataset: 35 kJ/mol of formula units

(6)
DFT (GGA-PBE) results for a geometry-optimized Th4FeHgSe2 structure.

Structure (extended XYZ):
```
8
Lattice="7.459 0.000 0.000 0.000 4.129 0.000 -2.279 0.000 7.202" Properties=species:S:1:pos:R:3 pbc="T T T"
Th 0.978 0.000 1.924
Th 0.011 2.065 5.196
Th 5.169 2.065 2.007
Th 4.202 0.000 5.279
Fe -1.140 0.000 3.601
Hg 2.590 2.065 3.601
Se 0.000 2.065 0.000
Se 3.730 0.000 0.000
```

SG: P2/m, No. 10
total magnetization: 0.00 μB per atom
E_form (uncorrected): -744 meV per atom

(7)
DFT (GGA-PBE) results for a geometry-optimized LiUCoRu structure.

Structure (extended XYZ):
```
4
Lattice="0.000 3.118 3.118 3.118 0.000 3.118 3.118 3.118 0.000" Properties=species:S:1:pos:R:3 pbc="T T T"
Li 0.000 0.000 0.000
U 3.118 3.118 3.118
Co 1.559 1.559 1.559
Ru 4.677 4.677 4.677
```

SG: F-43m, No. 216
total magnetization: 0.35 μB per atom
energy relative to the elements: -0.0084 eV/atom

(8)
DFT (GGA-PBE) results for a geometry-optimized CaCe2Rh2 structure.

Structure (extended XYZ):
```
10
Lattice="7.936 0.000 0.000 0.000 7.936 0.000 0.000 0.000 3.748" Properties=species:S:1:pos:R:3 pbc="T T T"
Ca 0.000 0.000 0.000
Ca 3.968 3.968 0.000
Ce 1.231 2.736 1.874
Ce 2.736 6.704 1.874
Ce 5.199 1.231 1.874
Ce 6.704 5.199 1.874
Rh 1.108 5.075 0.000
Rh 2.860 1.108 0.000
Rh 5.075 6.828 0.000
Rh 6.828 2.860 0.000
```

SG: P4/mbm, No. 127
total magnetization: 0.28 μB per atom
excess energy over the best structure of this formula in the dataset: 0 kJ/mol of formula units
energy relative to the elements: -0.5423 eV/atom

Question: What is the total magnetization in the eighth record?
Answer: 0.28 μB per atom

Question: What is the total magnetization in the seventh record?
Answer: 0.35 μB per atom

What did the fifth record say?
DFT (GGA-PBE) results for a geometry-optimized InAs2I structure.

Structure (extended XYZ):
```
4
Lattice="0.000 3.654 3.654 3.654 0.000 3.654 3.654 3.654 0.000" Properties=species:S:1:pos:R:3 pbc="T T T"
In 0.000 0.000 0.000
As 1.827 1.827 1.827
As 5.480 5.480 5.480
I 3.654 3.654 3.654
```

SG: Fm-3m, No. 225
total magnetization: 0.00 μB per atom
E_form (uncorrected): 518 meV per atom
excess energy over the best structure of this formula in the dataset: 35 kJ/mol of formula units